Entry 1:
## HoCd6Ag6 (PBE)

Data for a relaxed structure of HoCd6Ag6.

Values from the calculation:
- ΔE_f: -103 meV/atom
- Polymorph energy (0 for the lowest one): 0.000 eV per formula unit

abc: 5.674 5.674 9.732
angles: 90.00 90.00 120.00
Positions (direct):
Ho1 0.000 0.000 0.000
Cd1 0.000 0.000 0.347
Cd2 0.000 0.000 0.653
Cd3 0.333 0.667 0.000
Cd4 0.333 0.667 0.500
Cd5 0.667 0.333 0.000
Cd6 0.667 0.333 0.500
Ag1 0.000 0.500 0.245
Ag2 0.000 0.500 0.755
Ag3 0.500 0.000 0.245
Ag4 0.500 0.000 0.755
Ag5 0.500 0.500 0.245
Ag6 0.500 0.500 0.755



Entry 2:
## La8Tm2Th (PBE)

Data for a relaxed structure of La8Tm2Th.

Values from the calculation:
- ΔE_f: 135 meV/atom

abc: 8.678 8.678 5.490
angles: 90.05 90.05 105.10
Positions (direct):
La1 0.171 0.171 0.000
La2 0.206 0.467 0.500
La3 0.247 0.753 0.000
La4 0.467 0.206 0.500
La5 0.533 0.794 0.500
La6 0.753 0.247 0.000
La7 0.794 0.533 0.500
La8 0.829 0.829 0.000
Tm1 0.117 0.883 0.500
Tm2 0.883 0.117 0.500
Th1 0.500 0.500 0.000



Entry 3:
## ThPd6Au2 (PBE)

Data for a relaxed structure of ThPd6Au2.

Values from the calculation:
- ΔE_f: -269 meV/atom
- Polymorph energy (0 for the lowest one): 1.837 eV per formula unit

abc: 7.435 7.435 7.435
angles: 43.74 43.74 43.74
Positions (direct):
Th1 0.000 0.000 0.000
Pd1 0.059 0.059 0.555
Pd2 0.059 0.555 0.059
Pd3 0.281 0.281 0.767
Pd4 0.281 0.767 0.281
Pd5 0.555 0.059 0.059
Pd6 0.767 0.281 0.281
Au1 0.582 0.582 0.582
Au2 0.756 0.756 0.756



Q: Look up the ΔE_f of the third one.
A: -269 meV/atom